First-principles (PBE) data for an optimized crystal structure of CdAsP, as listed in Alexandria.

a = 6.1123 Å, b = 6.1123 Å, c = 6.1123 Å
α = 154.33°, β = 129.81°, γ = 57.21°
With the nearest neighbours (Å) after each atom.
Element x y z (fractional)
P 0.2421 0.2421 0.0000  1 As 2.31
As 0.0265 0.0265 0.0000  1 P 2.31
Cd 0.7313 0.7313 0.0000  2 Cd 2.72, 4 P 2.93

Computed properties:
DOS(E_F)	0.321	states/eV per atom
ΔE to the lowest computed polymorph	0.438	eV/atom
crystal system	orthorhombic